# 1
This record from Alexandria via LeMat-Bulk describes crystalline TcMoW2 at its relaxed geometry. The functional is PBEsol.

a = 2.7169 Å, b = 4.3909 Å, c = 5.1746 Å
α = 90.00°, β = 100.09°, γ = 90.00°
Space group P2/m (No. 10)
One atom of each set of equivalent atoms:
Tc  0.0000  0.0000  0.0000 (multiplicity 1)
Mo  0.5000  0.0000  0.5000 (multiplicity 1)
W  0.2556  0.5000  0.7503 (multiplicity 2)

## Properties
The value obtained for the final energy is -12.601 eV per atom. The volume comes out at 60.8 Å³/cell. The calculation puts the formation energy at 0.06 eV/atom. The calculation puts the density of states at the Fermi level at 3.24 states/eV/f.u.

=====

# 2
This record from Alexandria via LeMat-Bulk describes crystalline TcMoW at its relaxed geometry. The functional is PBEsol.

a = 4.3740 Å, b = 4.3740 Å, c = 2.7235 Å
α = 90.00°, β = 90.00°, γ = 120.00°
Space group P3m1 (No. 156)
One atom of each set of equivalent atoms:
Tc  0.0000  0.0000  0.0000 (multiplicity 1)
Mo  0.6667  0.3333  0.6465 (multiplicity 1)
W  0.3333  0.6667  0.3245 (multiplicity 1)

## Properties
The value obtained for the final energy is -12.195 eV per atom. The volume comes out at 45.1 Å³/cell. The calculation puts the formation energy at 0.09 eV/atom. The calculation puts the density of states at the Fermi level at 2.68 states/eV/f.u.

=====

# 3
This record from Alexandria via LeMat-Bulk describes crystalline TcMoW2 at its relaxed geometry. The functional is PBEsol.

a = 2.7465 Å, b = 4.0219 Å, c = 5.5566 Å
α = 90.00°, β = 90.00°, γ = 90.00°
Space group Pmm2 (No. 25)
One atom of each set of equivalent atoms:
Tc  0.0000  0.0000  0.0000 (multiplicity 1)
Mo  0.5000  0.5000  0.7570 (multiplicity 1)
W  0.0000  0.0000  0.5021 (multiplicity 1)
W  0.5000  0.5000  0.2441 (multiplicity 1)

## Properties
The value obtained for the final energy is -12.324 eV per atom. The volume comes out at 61.4 Å³/cell. The calculation puts the formation energy at 0.34 eV/atom. The calculation puts the density of states at the Fermi level at 3.95 states/eV/f.u.

=====

# 4
This record from Alexandria via LeMat-Bulk describes crystalline TcMoW at its relaxed geometry. The functional is PBEsol.

a = 3.1134 Å, b = 3.1134 Å, c = 9.3211 Å
α = 90.00°, β = 90.00°, γ = 90.00°
Space group I4mm (No. 107)
One atom of each set of equivalent atoms:
Tc  0.0000  0.0000  0.0000 (multiplicity 2)
Mo  0.0000  0.0000  0.6711 (multiplicity 2)
W  0.0000  0.0000  0.3350 (multiplicity 2)

## Properties
The value obtained for the final energy is -12.211 eV per atom. The volume comes out at 90.4 Å³/cell. The calculation puts the formation energy at 0.07 eV/atom. The calculation puts the density of states at the Fermi level at 2.51 states/eV/f.u.

=====

# 5
This record from Alexandria via LeMat-Bulk describes crystalline TcMoW2 at its relaxed geometry. The functional is PBEsol.

a = 5.4141 Å, b = 8.7842 Å, c = 2.7160 Å
α = 90.00°, β = 109.82°, γ = 90.00°
Space group C2/m (No. 12)
One atom of each set of equivalent atoms:
Tc  0.0000  0.0000  0.0000 (multiplicity 2)
Mo  0.0000  0.5000  0.0000 (multiplicity 2)
W  0.2500  0.2500  0.5000 (multiplicity 4)

## Properties
The value obtained for the final energy is -12.605 eV per atom. The volume comes out at 121.5 Å³/cell. The calculation puts the formation energy at 0.06 eV/atom. The calculation puts the density of states at the Fermi level at 3.14 states/eV/f.u.

=====

# 6
This record from Alexandria via LeMat-Bulk describes crystalline TcMoW2 at its relaxed geometry. The functional is PBEsol.

a = 2.7176 Å, b = 4.4018 Å, c = 5.1671 Å
α = 90.00°, β = 100.43°, γ = 90.00°
Space group Pm (No. 6)
One atom of each set of equivalent atoms:
Tc  0.0000  0.0000  0.0000 (multiplicity 1)
Mo  0.2624  0.5000  0.7483 (multiplicity 1)
W  0.5040  0.0000  0.5006 (multiplicity 1)
W  0.7498  0.5000  0.2470 (multiplicity 1)

## Properties
The value obtained for the final energy is -12.600 eV per atom. The volume comes out at 60.8 Å³/cell. The calculation puts the formation energy at 0.06 eV/atom. The calculation puts the density of states at the Fermi level at 3.14 states/eV/f.u.

=====

# 7
This record from Alexandria via LeMat-Bulk describes crystalline TcMoW2 at its relaxed geometry. The functional is PBEsol.

a = 3.1131 Å, b = 4.4447 Å, c = 8.7939 Å
α = 90.00°, β = 90.00°, γ = 90.00°
Space group Cmmm (No. 65)
One atom of each set of equivalent atoms:
Tc  0.0000  0.0000  0.0000 (multiplicity 2)
Mo  0.0000  0.0000  0.5000 (multiplicity 2)
W  0.0000  0.5000  0.2472 (multiplicity 4)

## Properties
The value obtained for the final energy is -12.593 eV per atom. The volume comes out at 121.7 Å³/cell. The calculation puts the formation energy at 0.07 eV/atom. The calculation puts the density of states at the Fermi level at 3.45 states/eV/f.u.

=====

# 8
This record from Alexandria via LeMat-Bulk describes crystalline TcMoW at its relaxed geometry. The functional is PBEsol.

a = 3.1064 Å, b = 4.4179 Å, c = 13.1392 Å
α = 90.00°, β = 90.00°, γ = 90.00°
Space group Fmm2 (No. 42)
One atom of each set of equivalent atoms:
Tc  0.0000  0.0000  0.0000 (multiplicity 4)
Mo  0.0000  0.0000  0.3348 (multiplicity 4)
W  0.0000  0.0000  0.6655 (multiplicity 4)

## Properties
The value obtained for the final energy is -12.193 eV per atom. The volume comes out at 180.3 Å³/cell. The calculation puts the formation energy at 0.09 eV/atom. The calculation puts the density of states at the Fermi level at 2.84 states/eV/f.u.